No. 1
A relaxed structure of Tb6NdY12. Source: the Alexandria database, functional GGA-PBE.

Summary:
DFT total energy: -5.65 eV/atom
ΔH_f (0 K): 2.84 eV/f.u.
relative energy among the computed polymorphs: 0.129 eV/atom

Lattice parameters (Å, degrees): 8.575 8.575 8.575 88.16 88.16 88.16
Fractional positions:
Tb (0.190, 0.592, 0.756)
Tb (0.244, 0.810, 0.408)
Tb (0.408, 0.244, 0.810)
Tb (0.592, 0.756, 0.190)
Tb (0.756, 0.190, 0.592)
Tb (0.810, 0.408, 0.244)
Nd (0.500, 0.500, 0.500)
Y (0.043, 0.275, 0.937)
Y (0.063, 0.957, 0.725)
Y (0.142, 0.295, 0.490)
Y (0.275, 0.937, 0.043)
Y (0.295, 0.490, 0.142)
Y (0.490, 0.142, 0.295)
Y (0.510, 0.858, 0.705)
Y (0.705, 0.510, 0.858)
Y (0.725, 0.063, 0.957)
Y (0.858, 0.705, 0.510)
Y (0.937, 0.043, 0.275)
Y (0.957, 0.725, 0.063)

No. 2
A relaxed structure of BaLi4Tl4. Source: the Alexandria database, functional GGA-PBE.

Summary:
DFT total energy: -2.32 eV/atom
ΔH_f (0 K): -1.82 eV/f.u.

Lattice parameters (Å, degrees): 7.320 7.320 7.320 97.24 97.24 138.41
Fractional positions:
Ba (0.000, 0.000, 0.000)
Li (0.224, 0.345, 0.569)
Li (0.345, 0.776, 0.121)
Li (0.655, 0.224, 0.879)
Li (0.776, 0.655, 0.431)
Tl (0.098, 0.631, 0.729)
Tl (0.369, 0.098, 0.467)
Tl (0.631, 0.902, 0.533)
Tl (0.902, 0.369, 0.271)

No. 3
A relaxed structure of Cs2TeAsBr6. Source: the Alexandria database, functional GGA-PBE.

Summary:
DFT total energy: -2.82 eV/atom
raw formation energy: -8.64 eV/f.u.

Lattice parameters (Å, degrees): 8.048 8.048 8.048 119.46 119.46 90.94
Fractional positions:
Cs (0.250, 0.750, 0.500)
Cs (0.750, 0.250, 0.500)
Te (0.000, 0.000, 0.000)
As (0.500, 0.500, 0.000)
Br (0.259, 0.259, 0.000)
Br (0.264, 0.264, 0.527)
Br (0.264, 0.736, 0.000)
Br (0.736, 0.264, 0.000)
Br (0.736, 0.736, 0.473)
Br (0.741, 0.741, 0.000)

No. 4
A relaxed structure of La2Tb3Tm7. Source: the Alexandria database, functional GGA-PBE.

Summary:
DFT total energy: -4.42 eV/atom
ΔH_f (0 K): 2.00 eV/f.u.
relative energy among the computed polymorphs: 0.072 eV/atom

Lattice parameters (Å, degrees): 18.961 18.961 3.583 90.00 90.00 162.37
Fractional positions:
La (0.175, 0.825, 0.000)
La (0.825, 0.175, 0.000)
Tb (0.352, 0.648, 0.500)
Tb (0.500, 0.500, 0.500)
Tb (0.648, 0.352, 0.500)
Tm (0.000, 0.000, 0.000)
Tm (0.086, 0.914, 0.500)
Tm (0.272, 0.728, 0.000)
Tm (0.428, 0.572, 0.000)
Tm (0.572, 0.428, 0.000)
Tm (0.728, 0.272, 0.000)
Tm (0.914, 0.086, 0.500)

No. 5
A relaxed structure of ReSiTc. Source: the Alexandria database, functional GGA-PBE.

Summary:
DFT total energy: -9.57 eV/atom
raw formation energy: -0.47 eV/f.u.
relative energy among the computed polymorphs: 0.160 eV/atom

Lattice parameters (Å, degrees): 2.898 2.898 17.558 90.00 90.00 120.00
Fractional positions:
Re (0.000, 0.000, 0.000)
Re (0.333, 0.667, 0.667)
Re (0.667, 0.333, 0.333)
Si (0.000, 0.000, 0.560)
Si (0.333, 0.667, 0.227)
Si (0.667, 0.333, 0.893)
Tc (0.000, 0.000, 0.788)
Tc (0.333, 0.667, 0.454)
Tc (0.667, 0.333, 0.121)

No. 6
A relaxed structure of PrPuCdAu. Source: the Alexandria database, functional GGA-PBE.

Summary:
DFT total energy: -6.12 eV/atom
ΔH_f (0 K): -1.16 eV/f.u.

Lattice parameters (Å, degrees): 7.534 7.534 7.534 90.00 90.00 90.00
Fractional positions:
Pr (0.000, 0.000, 0.000)
Pr (0.000, 0.500, 0.500)
Pr (0.500, 0.000, 0.500)
Pr (0.500, 0.500, 0.000)
Pu (0.000, 0.000, 0.500)
Pu (0.000, 0.500, 0.000)
Pu (0.500, 0.000, 0.000)
Pu (0.500, 0.500, 0.500)
Cd (0.250, 0.250, 0.250)
Cd (0.250, 0.750, 0.750)
Cd (0.750, 0.250, 0.750)
Cd (0.750, 0.750, 0.250)
Au (0.250, 0.250, 0.750)
Au (0.250, 0.750, 0.250)
Au (0.750, 0.250, 0.250)
Au (0.750, 0.750, 0.750)

No. 7
A relaxed structure of BaHo2Lu. Source: the Alexandria database, functional GGA-PBE.

Summary:
DFT total energy: -3.72 eV/atom
ΔH_f (0 K): 0.74 eV/f.u.

Lattice parameters (Å, degrees): 3.995 3.995 9.373 90.00 90.00 90.00
Fractional positions:
Ba (0.000, 0.000, 0.000)
Ho (0.500, 0.500, 0.306)
Ho (0.500, 0.500, 0.694)
Lu (0.000, 0.000, 0.500)

No. 8
A relaxed structure of TbThCoRu. Source: the Alexandria database, functional GGA-PBE.

Summary:
DFT total energy: -7.37 eV/atom
ΔH_f (0 K): -1.07 eV/f.u.

Lattice parameters (Å, degrees): 6.918 6.918 6.918 90.00 90.00 90.00
Fractional positions:
Tb (0.000, 0.000, 0.000)
Tb (0.000, 0.500, 0.500)
Tb (0.500, 0.000, 0.500)
Tb (0.500, 0.500, 0.000)
Th (0.000, 0.000, 0.500)
Th (0.000, 0.500, 0.000)
Th (0.500, 0.000, 0.000)
Th (0.500, 0.500, 0.500)
Co (0.250, 0.250, 0.250)
Co (0.250, 0.750, 0.750)
Co (0.750, 0.250, 0.750)
Co (0.750, 0.750, 0.250)
Ru (0.250, 0.250, 0.750)
Ru (0.250, 0.750, 0.250)
Ru (0.750, 0.250, 0.250)
Ru (0.750, 0.750, 0.750)

No. 9
A relaxed structure of Hf2AlV. Source: the Alexandria database, functional GGA-PBE.

Summary:
DFT total energy: -8.34 eV/atom
ΔH_f (0 K): -0.57 eV/f.u.

Lattice parameters (Å, degrees): 4.414 4.414 3.787 90.00 90.00 90.00
Fractional positions:
Hf (0.000, 0.500, 0.000)
Hf (0.500, 0.000, 0.000)
Al (0.000, 0.000, 0.500)
V (0.500, 0.500, 0.500)

No. 10
A relaxed structure of CePr7Ga4. Source: the Alexandria database, functional GGA-PBE.

Summary:
DFT total energy: -4.49 eV/atom
ΔH_f (0 K): -2.34 eV/f.u.

Lattice parameters (Å, degrees): 7.572 7.572 10.649 121.09 121.09 43.72
Fractional positions:
Ce (0.000, 0.000, 0.000)
Pr (0.066, 0.066, 0.389)
Pr (0.204, 0.204, 0.883)
Pr (0.293, 0.293, 0.351)
Pr (0.500, 0.500, 0.000)
Pr (0.707, 0.707, 0.649)
Pr (0.796, 0.796, 0.117)
Pr (0.934, 0.934, 0.611)
Ga (0.323, 0.323, 0.669)
Ga (0.448, 0.448, 0.245)
Ga (0.552, 0.552, 0.755)
Ga (0.677, 0.677, 0.331)

No. 11
A relaxed structure of AcSm2Tl9. Source: the Alexandria database, functional GGA-PBE.

Summary:
DFT total energy: -3.20 eV/atom
ΔH_f (0 K): -3.59 eV/f.u.

Lattice parameters (Å, degrees): 4.881 4.881 14.607 90.00 90.00 90.00
Fractional positions:
Ac (0.000, 0.000, 0.000)
Sm (0.000, 0.000, 0.340)
Sm (0.000, 0.000, 0.660)
Tl (0.000, 0.500, 0.176)
Tl (0.000, 0.500, 0.500)
Tl (0.000, 0.500, 0.824)
Tl (0.500, 0.000, 0.176)
Tl (0.500, 0.000, 0.500)
Tl (0.500, 0.000, 0.824)
Tl (0.500, 0.500, 0.000)
Tl (0.500, 0.500, 0.336)
Tl (0.500, 0.500, 0.664)

No. 12
A relaxed structure of Rb4MgH7. Source: the Alexandria database, functional GGA-PBE.

Summary:
DFT total energy: -2.55 eV/atom

Lattice parameters (Å, degrees): 7.752 7.752 9.775 103.72 103.72 30.62
Fractional positions:
Rb (0.126, 0.126, 0.282)
Rb (0.145, 0.145, 0.849)
Rb (0.855, 0.855, 0.151)
Rb (0.874, 0.874, 0.718)
Mg (0.500, 0.500, 0.000)
H (0.000, 0.000, 0.000)
H (0.026, 0.026, 0.516)
H (0.355, 0.355, 0.935)
H (0.491, 0.491, 0.198)
H (0.509, 0.509, 0.802)
H (0.645, 0.645, 0.065)
H (0.974, 0.974, 0.484)

> Which of these has the lowest DFT total energy?

ReSiTc